Here is a relaxed TiCoSb2Te crystal from Alexandria via LeMat-Bulk. Energies are from PBE.

a = 5.238 Å, b = 5.238 Å, c = 5.226 Å
α = 90.00°, β = 90.00°, γ = 90.00°
Space group P4/mmm (No. 123)
Asymmetric unit:
Ti 0.000 0.000 0.000 (multiplicity 1)
Co 0.500 0.500 0.500 (multiplicity 1)
Sb 0.000 0.500 0.000 (multiplicity 2)
Te 0.000 0.000 0.500 (multiplicity 1)

Output
- total magnetization (μB/f.u.) = 2.268
- energy (hartree per atom) = -0.1672
- energy above the most stable polymorph in this dataset (eV/atom) = 0.2090
- raw formation energy (eV per atom) = 0.73

Here is a relaxed YCd2Pt2 crystal from Alexandria via LeMat-Bulk. Energies are from PBE.

a = 7.313 Å, b = 7.313 Å, c = 3.911 Å
α = 90.00°, β = 90.00°, γ = 90.00°
Space group P4/mbm (No. 127)
Asymmetric unit:
Y 0.000 0.000 0.000 (multiplicity 2)
Cd 0.162 0.338 0.500 (multiplicity 4)
Pt 0.133 0.633 0.000 (multiplicity 4)

Output
- total magnetization (μB/f.u.) = 0.000
- energy (hartree per atom) = -0.1707
- energy above the most stable polymorph in this dataset (eV/atom) = 0.0799
- energy of formation from the pure elements (eV/f.u.) = -2.85

Here is a relaxed SmMg3In3 crystal from Alexandria via LeMat-Bulk. Energies are from PBE.

a = 7.727 Å, b = 7.727 Å, c = 7.727 Å
α = 90.00°, β = 90.00°, γ = 90.00°
Space group Pm-3n (No. 223)
Asymmetric unit:
Sm 0.000 0.000 0.000 (multiplicity 2)
Mg 0.000 0.250 0.500 (multiplicity 6)
In 0.000 0.500 0.250 (multiplicity 6)

Output
- total magnetization (μB/f.u.) = 0.000
- energy (hartree per atom) = -0.0765
- energy of formation from the pure elements (eV/f.u.) = 3.15

Here is a relaxed LaTb3Er4 crystal from Alexandria via LeMat-Bulk. Energies are from PBE.

a = 11.334 Å, b = 7.275 Å, c = 6.269 Å
α = 90.00°, β = 90.00°, γ = 90.00°
Space group Pmn2_1 (No. 31)
Asymmetric unit:
La 0.000 0.126 0.000 (multiplicity 2)
Tb 0.000 0.871 0.503 (multiplicity 2)
Tb 0.249 0.128 0.337 (multiplicity 4)
Er 0.000 0.379 0.503 (multiplicity 2)
Er 0.000 0.623 0.004 (multiplicity 2)
Er 0.248 0.622 0.337 (multiplicity 4)

Output
- total magnetization (μB/f.u.) = 0.000
- energy (hartree per atom) = -0.1696
- energy of formation from the pure elements (eV/f.u.) = 0.14

Here is a relaxed Fe3HW crystal from Alexandria via LeMat-Bulk. Energies are from PBE.

a = 4.898 Å, b = 4.984 Å, c = 5.122 Å
α = 105.99°, β = 104.48°, γ = 115.48°
Space group P1 (No. 1)
Asymmetric unit:
Fe 0.000 0.000 0.000 (multiplicity 1)
Fe 0.002 0.998 0.485 (multiplicity 1)
Fe 0.092 0.584 0.152 (multiplicity 1)
Fe 0.482 0.486 0.488 (multiplicity 1)
Fe 0.566 0.052 0.635 (multiplicity 1)
Fe 0.574 0.064 0.150 (multiplicity 1)
H 0.005 0.256 0.824 (multiplicity 1)
H 0.303 0.033 0.826 (multiplicity 1)
W 0.033 0.556 0.620 (multiplicity 1)
W 0.541 0.514 0.009 (multiplicity 1)

Output
- total magnetization (μB/f.u.) = 0.023
- energy (hartree per atom) = -0.3028
- energy above the most stable polymorph in this dataset (eV/atom) = 0.0919

Here is a relaxed Mg2VFe3S8 crystal from Alexandria via LeMat-Bulk. Energies are from PBE.

a = 7.0609 Å, b = 7.0609 Å, c = 17.0839 Å
α = 90.00°, β = 90.00°, γ = 120.00°
Space group R-3m (No. 166, hexagonal axes)
Asymmetric unit:
Mg 0.0000 0.0000 0.1252 (multiplicity 6)
V 0.0000 0.0000 0.5000 (multiplicity 3)
Fe 0.0000 0.5000 0.0000 (multiplicity 9)
S 0.0000 0.0000 0.2678 (multiplicity 6)
S 0.0357 0.5179 0.2592 (multiplicity 18)

Output
- total magnetization (μB/f.u.) = 4.816
- energy (hartree per atom) = -0.2093
- raw formation energy (eV per atom) = -0.64

total magnetization of number 2 (YCd2Pt2)?
0.000 μB/f.u.

What is the total magnetization in the first record?
2.268 μB/f.u.

Among the records above, which one has the highest energy?
SmMg3In3

Among the records above, which one has the highest energy?
SmMg3In3